# 1
The following is a PBE calculation of a relaxed structure of SmMnPt4, from Alexandria via LeMat-Bulk.

Computed properties:
Spin magnetization = 4.34 μB/f.u.
Formation enthalpy at 0 K = -0.61 eV/atom
V = 215.3 Å³ per cell
ΔE to the lowest computed polymorph = 5.6 kJ/mol of atoms

Cell lengths 4.023, 6.945, 7.706 Å; angles 90.00, 90.00, 90.00 degrees
Each line ends with the local moment (μB).
Fractional coordinates of all 12 atoms:
Sm1 0.000 0.650 0.750  0.02
Sm2 0.000 0.350 0.250  0.02
Mn1 0.000 0.231 0.750  3.61
Mn2 0.000 0.769 0.250  3.61
Pt1 0.000 0.000 0.500  0.13
Pt2 0.000 0.000 0.000  0.13
Pt3 0.500 0.970 0.750  0.10
Pt4 0.500 0.030 0.250  0.10
Pt5 0.500 0.686 0.047  0.17
Pt6 0.500 0.314 0.953  0.17
Pt7 0.500 0.686 0.453  0.17
Pt8 0.500 0.314 0.547  0.17

=====

# 2
The following is a PBE calculation of a relaxed structure of ScHg2BCl, from Alexandria via LeMat-Bulk.

Computed properties:
Spin magnetization = 0.98 μB/f.u.
Formation energy without anion corrections = 0.704 eV/atom
V = 160.4 Å³ per cell

Cell lengths 5.769, 4.819, 5.769 Å; angles 90.00, 90.00, 90.00 degrees
Each line ends with the local moment (μB).
Fractional coordinates of all 5 atoms:
Sc1 0.000 0.000 0.000  0.07
B1 0.500 0.500 0.500  0.26
Hg1 0.000 0.000 0.500  0.02
Hg2 0.500 0.000 0.000  0.02
Cl1 0.000 0.500 0.000  0.02

=====

# 3
The following is a PBE calculation of a relaxed structure of MgTe2PdO, from Alexandria via LeMat-Bulk.

Computed properties:
Spin magnetization = 0.00 μB/f.u.
Formation energy without anion corrections = -0.140 eV/atom
V = 115.9 Å³ per cell

Cell lengths 5.496, 3.836, 5.496 Å; angles 90.00, 90.00, 90.00 degrees
Fractional coordinates of all 5 atoms:
Mg1 0.500 0.500 0.500
Te1 0.000 0.000 0.500
Te2 0.500 0.000 0.000
O1 0.000 0.500 0.000
Pd1 0.000 0.000 0.000

=====

# 4
The following is a PBE calculation of a relaxed structure of Sr2MgInRh, from Alexandria via LeMat-Bulk.

Computed properties:
Spin magnetization = 0.00 μB/f.u.
Formation enthalpy at 0 K = -0.16 eV/atom
V = 167.3 Å³ per cell
ΔE to the lowest computed polymorph = 1.9 kJ/mol of atoms

Cell lengths 5.750, 5.750, 5.059 Å; angles 90.00, 90.00, 90.00 degrees
Fractional coordinates of all 5 atoms:
Sr1 0.000 0.500 0.000
Sr2 0.500 0.000 0.000
Mg1 0.000 0.000 0.500
Rh1 0.000 0.000 0.000
In1 0.500 0.500 0.500

=====

# 5
The following is a PBE calculation of a relaxed structure of Pr5SmBi5, from Alexandria via LeMat-Bulk.

Computed properties:
Spin magnetization = 0.00 μB/f.u.
Formation enthalpy at 0 K = -0.77 eV/atom
V = 408.1 Å³ per cell

Cell lengths 6.495, 7.932, 9.160 Å; angles 106.90, 90.00, 114.17 degrees
Fractional coordinates of all 11 atoms:
Pr1 0.669 0.337 0.334
Pr2 0.664 0.329 0.831
Pr3 0.000 0.000 0.500
Pr4 0.336 0.671 0.169
Pr5 0.331 0.663 0.666
Sm1 0.000 0.000 0.000
Bi1 0.833 0.666 0.165
Bi2 0.835 0.669 0.668
Bi3 0.500 0.000 0.000
Bi4 0.165 0.331 0.332
Bi5 0.167 0.334 0.835

=====

# 6
The following is a PBE calculation of a relaxed structure of YHfAgRu, from Alexandria via LeMat-Bulk.

Computed properties:
Spin magnetization = 0.00 μB/f.u.
Formation enthalpy at 0 K = -0.26 eV/atom
V = 79.9 Å³ per cell

Cell lengths 4.834, 4.834, 4.834 Å; angles 60.00, 60.00, 60.00 degrees
Fractional coordinates of all 4 atoms:
Y1 0.500 0.500 0.500
Ru1 0.750 0.750 0.750
Hf1 0.000 0.000 0.000
Ag1 0.250 0.250 0.250